Record 1
Here is crystalline Dy5Tl2AgIr2 at its relaxed geometry from the Alexandria database. Energies are from PBE-GGA.

Values from the calculation:
The symmetry is No. 127. The value obtained for the calculated formation energy is -5.1 eV per formula unit.

Cell lengths 3.652, 11.849, 11.849 Å; angles 90.00, 90.00, 90.00 degrees
Atoms (fractional coordinates):
Dy1 0.500 0.203 0.077
Dy2 0.500 0.797 0.923
Dy3 0.500 0.077 0.797
Dy4 0.500 0.703 0.423
Dy5 0.500 0.923 0.203
Dy6 0.500 0.297 0.577
Dy7 0.500 0.577 0.703
Dy8 0.500 0.423 0.297
Dy9 0.500 0.500 0.000
Dy10 0.500 0.000 0.500
Tl1 0.000 0.672 0.172
Tl2 0.000 0.328 0.828
Tl3 0.000 0.172 0.328
Tl4 0.000 0.828 0.672
Ag1 0.000 0.000 0.000
Ag2 0.000 0.500 0.500
Ir1 0.000 0.133 0.633
Ir2 0.000 0.867 0.367
Ir3 0.000 0.633 0.867
Ir4 0.000 0.367 0.133



Record 2
Here is crystalline Ce5ErSe6 at its relaxed geometry from the Alexandria database. Energies are from PBE-GGA.

Values from the calculation:
The symmetry is No. 12. For the uncorrected formation energy, the calculation gives -1800.9 meV per atom.

Cell lengths 7.222, 7.227, 7.233 Å; angles 60.03, 80.37, 70.44 degrees
Each line ends with the local moment (μB).
Atoms (fractional coordinates):
Se1 0.757 0.081 0.325  -0.01
Se2 0.243 0.594 0.325  -0.01
Se3 0.248 0.242 0.000  -0.01
Se4 0.752 0.758 0.000  -0.01
Se5 0.757 0.406 0.675  -0.01
Se6 0.243 0.919 0.675  -0.01
Ce1 0.500 0.170 0.660  0.77
Ce2 0.000 0.334 0.332  0.74
Ce3 0.500 0.500 0.000  0.77
Ce4 0.000 0.666 0.668  0.74
Ce5 0.500 0.830 0.340  0.77
Er1 0.000 0.000 0.000  0.00



Record 3
Here is crystalline LaDy2Pd at its relaxed geometry from the Alexandria database. Energies are from PBE-GGA.

Values from the calculation:
The symmetry is No. 123. The value obtained for the excess energy over the best structure of this formula in the dataset is 3.4 kJ per mole of atoms. The value obtained for the calculated formation energy is -1.7 eV per formula unit.

Cell lengths 3.571, 3.571, 8.828 Å; angles 90.00, 90.00, 90.00 degrees
Atoms (fractional coordinates):
La1 0.500 0.500 0.500
Pd1 0.500 0.500 0.000
Dy1 0.000 0.000 0.812
Dy2 0.000 0.000 0.188



Record 4
Here is crystalline YTc6 at its relaxed geometry from the Alexandria database. Energies are from PBE-GGA.

Values from the calculation:
The symmetry is No. 62. The value obtained for the excess energy over the best structure of this formula in the dataset is 0.0 kJ per mole of atoms. The value obtained for the calculated formation energy is 0.1 eV per formula unit.

Cell lengths 5.176, 8.482, 10.721 Å; angles 90.00, 90.00, 90.00 degrees
Atoms (fractional coordinates):
Y1 0.750 0.234 0.943
Y2 0.250 0.766 0.057
Y3 0.750 0.734 0.557
Y4 0.250 0.266 0.443
Tc1 0.750 0.578 0.022
Tc2 0.250 0.422 0.978
Tc3 0.750 0.078 0.478
Tc4 0.250 0.922 0.522
Tc5 0.009 0.430 0.195
Tc6 0.509 0.570 0.805
Tc7 0.491 0.930 0.305
Tc8 0.991 0.070 0.695
Tc9 0.991 0.570 0.805
Tc10 0.491 0.430 0.195
Tc11 0.509 0.070 0.695
Tc12 0.009 0.930 0.305
Tc13 0.250 0.140 0.147
Tc14 0.750 0.860 0.853
Tc15 0.250 0.640 0.353
Tc16 0.750 0.360 0.647
Tc17 0.250 0.814 0.757
Tc18 0.750 0.186 0.243
Tc19 0.250 0.314 0.743
Tc20 0.750 0.686 0.257
Tc21 0.250 0.576 0.578
Tc22 0.750 0.424 0.422
Tc23 0.250 0.076 0.922
Tc24 0.750 0.924 0.078



Record 5
Here is crystalline BeBiHPb at its relaxed geometry from the Alexandria database. Energies are from PBE-GGA.

Values from the calculation:
The symmetry is No. 38. The value obtained for the excess energy over the best structure of this formula in the dataset is 18.8 kJ per mole of atoms.

Cell lengths 5.319, 4.347, 7.667 Å; angles 90.00, 90.00, 90.00 degrees
Atoms (fractional coordinates):
Be1 0.000 0.000 0.226
Be2 0.000 0.500 0.726
Bi1 0.000 0.000 0.899
Bi2 0.000 0.500 0.399
H1 0.500 0.000 0.573
H2 0.500 0.500 0.073
Pb1 0.500 0.000 0.322
Pb2 0.500 0.500 0.822



Record 6
Here is crystalline Th3Sc12Cd at its relaxed geometry from the Alexandria database. Energies are from PBE-GGA.

Values from the calculation:
The symmetry is No. 123. The value obtained for the calculated formation energy is 0.1 eV per formula unit.

Cell lengths 4.710, 4.710, 18.449 Å; angles 90.00, 90.00, 90.00 degrees
Each line ends with the local moment (μB).
Atoms (fractional coordinates):
Th1 0.000 0.000 0.246  0.01
Th2 0.000 0.000 0.500  0.00
Th3 0.000 0.000 0.754  0.01
Sc1 0.500 0.500 0.000  0.23
Sc2 0.500 0.500 0.241  0.01
Sc3 0.500 0.500 0.500  0.00
Sc4 0.500 0.500 0.759  0.01
Sc5 0.500 0.000 0.119  0.09
Sc6 0.500 0.000 0.372  0.01
Sc7 0.500 0.000 0.628  0.01
Sc8 0.500 0.000 0.881  0.09
Sc9 0.000 0.500 0.119  0.09
Sc10 0.000 0.500 0.372  0.01
Sc11 0.000 0.500 0.628  0.01
Sc12 0.000 0.500 0.881  0.09
Cd1 0.000 0.000 0.000  0.00



Record 7
Here is crystalline Sm2Nb2Si2C at its relaxed geometry from the Alexandria database. Energies are from PBE-GGA.

Values from the calculation:
The symmetry is No. 139. For the uncorrected formation energy, the calculation gives -587.5 meV per atom.

Cell lengths 4.271, 4.271, 8.248 Å; angles 105.00, 105.00, 90.00 degrees
Atoms (fractional coordinates):
Sm1 0.168 0.168 0.335
Sm2 0.832 0.832 0.665
Nb1 0.000 0.500 0.000
Nb2 0.500 0.000 0.000
Si1 0.378 0.378 0.757
Si2 0.622 0.622 0.243
C1 0.000 0.000 0.000



Record 8
Here is crystalline PrAlGeO5 at its relaxed geometry from the Alexandria database. Energies are from PBE-GGA.

Values from the calculation:
The symmetry is No. 15. For the uncorrected formation energy, the calculation gives -2649.7 meV per atom.

Cell lengths 5.595, 5.595, 6.920 Å; angles 102.48, 102.48, 106.36 degrees
Atoms (fractional coordinates):
Pr1 0.326 0.674 0.250
Pr2 0.674 0.326 0.750
Al1 0.000 0.000 0.500
Al2 0.000 0.000 0.000
Ge1 0.684 0.316 0.250
Ge2 0.316 0.684 0.750
O1 0.066 0.934 0.250
O2 0.934 0.066 0.750
O3 0.904 0.308 0.101
O4 0.096 0.692 0.899
O5 0.692 0.096 0.399
O6 0.308 0.904 0.601
O7 0.750 0.622 0.433
O8 0.250 0.378 0.567
O9 0.378 0.250 0.067
O10 0.622 0.750 0.933



Record 9
Here is crystalline TbTaTe2 at its relaxed geometry from the Alexandria database. Energies are from PBE-GGA.

Values from the calculation:
The symmetry is No. 166. For the uncorrected formation energy, the calculation gives -192.1 meV per atom.

Cell lengths 3.636, 3.636, 10.192 Å; angles 79.72, 79.72, 60.00 degrees
Atoms (fractional coordinates):
Te1 0.104 0.104 0.687
Te2 0.896 0.896 0.313
Tb1 0.000 0.000 0.000
Ta1 0.500 0.500 0.500



Record 10
Here is crystalline Ca2HfHgMo at its relaxed geometry from the Alexandria database. Energies are from PBE-GGA.

Values from the calculation:
The symmetry is No. 123. The value obtained for the calculated formation energy is 5.8 eV per formula unit.

Cell lengths 5.595, 5.358, 5.595 Å; angles 90.00, 90.00, 90.00 degrees
Each line ends with the local moment (μB).
Atoms (fractional coordinates):
Mo1 0.500 0.500 0.500  3.42
Ca1 0.000 0.000 0.500  0.00
Ca2 0.500 0.000 0.000  -0.01
Hf1 0.000 0.500 0.000  -0.07
Hg1 0.000 0.000 0.000  0.00



Record 11
Here is crystalline YReNi2 at its relaxed geometry from the Alexandria database. Energies are from PBE-GGA.

Values from the calculation:
The symmetry is No. 44. The value obtained for the excess energy over the best structure of this formula in the dataset is 28.9 kJ per mole of atoms. The value obtained for the calculated formation energy is 0.8 eV per formula unit.

Cell lengths 5.462, 5.462, 5.462 Å; angles 149.67, 130.88, 58.83 degrees
Atoms (fractional coordinates):
Ni1 0.026 0.026 0.000
Ni2 0.246 0.746 0.500
Re1 0.473 0.473 0.000
Y1 0.754 0.254 0.500



Record 12
Here is crystalline NpNb2Au at its relaxed geometry from the Alexandria database. Energies are from PBE-GGA.

Values from the calculation:
The symmetry is No. 123. The value obtained for the excess energy over the best structure of this formula in the dataset is 0.0 kJ per mole of atoms. The value obtained for the calculated formation energy is 0.6 eV per formula unit.

Cell lengths 3.366, 4.728, 4.728 Å; angles 90.00, 90.00, 90.00 degrees
Each line ends with the local moment (μB).
Atoms (fractional coordinates):
Np1 0.500 0.000 0.000  3.02
Nb1 0.000 0.000 0.500  0.11
Nb2 0.000 0.500 0.000  0.11
Au1 0.500 0.500 0.500  0.00



Number 1: total DFT energy (no corrections) -5.34 eV per atom. Number 2: total DFT energy (no corrections) -6.40 eV per atom. Number 3: total DFT energy (no corrections) -5.25 eV per atom. Number 4: total DFT energy (no corrections) -9.80 eV per atom. Number 5: total DFT energy (no corrections) -3.25 eV per atom. Number 6: total DFT energy (no corrections) -6.19 eV per atom. Number 7: total DFT energy (no corrections) -7.68 eV per atom. Number 8: total DFT energy (no corrections) -7.39 eV per atom. Number 9: total DFT energy (no corrections) -5.88 eV per atom. Number 10: total DFT energy (no corrections) -3.85 eV per atom. Number 11: total DFT energy (no corrections) -7.41 eV per atom. Number 12: total DFT energy (no corrections) -8.94 eV per atom.